A relaxed structure of ScTi2VW, computed with PBE.

Computed properties:
- DOS(E_F) (states/eV/cell) = 10.30
- total moment (μB/f.u.) = 0.000
- energy of formation (kJ per mole of atoms) = 169.4

Cell: 4.3822 4.8624 4.3822 Å, 90.00 90.00 90.00°
With the nearest neighbours (Å) after each atom.
Fractional positions:
W: 0.0000 0.5000 0.0000  2 Sc 2.43
Sc: 0.0000 0.0000 0.0000  4 Ti 2.19, 2 W 2.43
Ti: 0.5000 0.0000 0.0000  2 Sc 2.19
V: 0.5000 0.5000 0.5000  4 W 3.10, 8 Ti 3.27
Ti: 0.0000 0.0000 0.5000  2 Sc 2.19


A relaxed structure of ScTiW, computed with PBE.

Computed properties:
- DOS(E_F) (states/eV/cell) = 3.35
- total moment (μB/f.u.) = 0.000
- energy of formation (kJ per mole of atoms) = 11.8

Cell: 3.3496 3.3496 5.5410 Å, 107.59 107.59 90.00°
With the nearest neighbours (Å) after each atom.
Fractional positions:
Ti: 0.3043 0.3043 0.6085  4 W 2.64
W: 0.6875 0.6875 0.3750  4 Ti 2.64
Sc: 0.0082 0.0082 0.0165  5 Ti 2.97-3.13, 5 W 2.97-3.21


A relaxed structure of ScTiW, computed with PBE.

Computed properties:
- DOS(E_F) (states/eV/cell) = 22.20
- total moment (μB/f.u.) = 0.002
- energy of formation (kJ per mole of atoms) = 13.2

Cell: 5.3698 5.3698 9.0617 Å, 90.00 90.00 118.53°
With the nearest neighbours (Å) after each atom.
Fractional positions:
Sc: 0.3331 0.6670 0.6989  5 W 3.13-3.28, 7 Ti 3.14-3.27, 3 Sc 3.29-3.34
Ti: 0.9904 0.0096 0.2487  4 W 2.66-2.78, 2 Ti 2.80
Sc: 0.3331 0.6670 0.3011  5 W 3.13-3.28, 7 Ti 3.14-3.27, 3 Sc 3.29-3.34
Ti: 0.3365 0.1603 0.5000  2 W 2.65-2.72, 4 Ti 2.73-2.80
Sc: 0.6674 0.3326 0.1750  5 Ti 3.06-3.33, 7 W 3.11-3.36, 4 Sc 3.17-3.34
Ti: 0.9904 0.0096 0.7513  4 W 2.66-2.78, 2 Ti 2.80
W: 0.8423 0.1577 0.5000  6 Ti 2.65-2.72
Ti: 0.8397 0.6635 0.5000  2 W 2.65-2.72, 4 Ti 2.73-2.80
W: 0.1660 0.8340 0.0000  4 W 2.67-2.70, 2 Ti 2.78
Sc: 0.6674 0.3326 0.8250  5 Ti 3.06-3.33, 7 W 3.11-3.36, 4 Sc 3.17-3.34
W: 0.6600 0.8264 0.0000  4 W 2.67-2.82, 2 Ti 2.74
W: 0.1736 0.3400 0.0000  4 W 2.67-2.82, 2 Ti 2.74


A relaxed structure of Sc2Ti2W, computed with PBE.

Computed properties:
- DOS(E_F) (states/eV/cell) = 15.07
- total moment (μB/f.u.) = 0.000
- energy of formation (kJ per mole of atoms) = 29.0

Cell: 6.5274 6.5274 4.7281 Å, 90.00 90.00 90.00°
With the nearest neighbours (Å) after each atom.
Fractional positions:
Ti: 0.1451 0.3549 0.0000  2 W 2.50, 1 Ti 2.68
Ti: 0.8549 0.6451 0.0000  2 W 2.50, 1 Ti 2.68
Sc: 0.8284 0.3284 0.5000  6 Ti 2.91-3.15, 1 Sc 3.17
Sc: 0.1716 0.6716 0.5000  6 Ti 2.91-3.15, 1 Sc 3.17
W: 0.5000 0.5000 0.0000  4 Ti 2.50
W: 0.0000 0.0000 0.0000  4 Ti 2.50
Sc: 0.3284 0.1716 0.5000  6 Ti 2.91-3.15, 1 Sc 3.17
Sc: 0.6716 0.8284 0.5000  6 Ti 2.91-3.15, 1 Sc 3.17
Ti: 0.6451 0.1451 0.0000  2 W 2.50, 1 Ti 2.68
Ti: 0.3549 0.8549 0.0000  2 W 2.50, 1 Ti 2.68


A relaxed structure of ScTi2W, computed with PBE.

Computed properties:
- DOS(E_F) (states/eV/cell) = 6.26
- total moment (μB/f.u.) = 0.002
- energy of formation (kJ per mole of atoms) = 6.4

Cell: 3.2746 3.2746 6.8909 Å, 90.00 90.00 90.00°
With the nearest neighbours (Å) after each atom.
Fractional positions:
Ti: 0.0000 0.0000 0.2051  4 W 2.71, 1 Ti 2.83
W: 0.5000 0.5000 0.0000  8 Ti 2.71
Sc: 0.5000 0.5000 0.5000  8 Ti 3.08, 4 Sc 3.27, 2 W 3.45
Ti: 0.0000 0.0000 0.7949  4 W 2.71, 1 Ti 2.83


A relaxed structure of Sc2TiW, computed with PBE.

Computed properties:
- DOS(E_F) (states/eV/cell) = 5.76
- total moment (μB/f.u.) = 0.000
- energy of formation (kJ per mole of atoms) = 43.1

Cell: 10.6049 10.6049 10.6049 Å, 16.03 16.03 16.03°
With the nearest neighbours (Å) after each atom.
Fractional positions:
Ti: 0.0000 0.0000 0.0000  2 Sc 2.86, 6 Ti 2.96
Sc: 0.0911 0.0911 0.0911  1 Ti 2.86, 3 W 2.92, 6 Sc 2.96
Sc: 0.9090 0.9090 0.9090  1 Ti 2.86, 3 W 2.92, 6 Sc 2.96
W: 0.5000 0.5000 0.5000  6 Sc 2.92, 6 W 2.96


A relaxed structure of Sc2TiW, computed with PBE.

Computed properties:
- DOS(E_F) (states/eV/cell) = 7.63
- total moment (μB/f.u.) = 0.000
- energy of formation (kJ per mole of atoms) = 35.6

Cell: 4.7673 4.7673 4.7673 Å, 60.00 60.00 60.00°
With the nearest neighbours (Å) after each atom.
Fractional positions:
Sc: 0.2500 0.2500 0.2500  4 W 2.92, 4 Ti 2.92
W: 0.5000 0.5000 0.5000  8 Sc 2.92
Ti: 0.0000 0.0000 0.0000  8 Sc 2.92
Sc: 0.7500 0.7500 0.7500  4 Ti 2.92, 4 W 2.92


A relaxed structure of ScTi2W, computed with PBE.

Computed properties:
- DOS(E_F) (states/eV/cell) = 10.14
- total moment (μB/f.u.) = 0.000
- energy of formation (kJ per mole of atoms) = 55.2

Cell: 7.2811 7.2811 5.8788 Å, 51.74 51.74 90.00°
With the nearest neighbours (Å) after each atom.
Fractional positions:
W: 0.7500 0.2500 0.5000  4 Ti 2.55, 2 Sc 2.84
Sc: 0.5000 0.5000 0.0000  4 Ti 2.79, 2 W 2.84
Ti: 0.8750 0.8994 0.7500  2 W 2.55, 2 Sc 2.79
Sc: 0.2500 0.7500 0.5000  4 Ti 2.79, 2 W 2.84
Ti: 0.1006 0.6250 0.2500  2 W 2.55, 2 Sc 2.79
Ti: 0.3750 0.3506 0.7500  2 W 2.55, 2 Sc 2.79
W: 0.0000 0.0000 0.0000  4 Ti 2.55, 2 Sc 2.84
Ti: 0.6494 0.1250 0.2500  2 W 2.55, 2 Sc 2.79


A relaxed structure of YScTi, computed with PBE.

Computed properties:
- DOS(E_F) (states/eV/cell) = 4.29
- total moment (μB/f.u.) = 1.403
- energy of formation (kJ per mole of atoms) = 17.6

Cell: 3.2264 5.1056 5.1056 Å, 120.00 90.00 90.00°
With the nearest neighbours (Å) after each atom.
Fractional positions:
Sc: 0.1671 0.6667 0.3333  3 Ti 2.95, 2 Sc 3.23
Ti: 0.1662 0.0000 0.0000  3 Sc 2.95, 2 Ti 3.23
Y: 0.6667 0.3333 0.6667  2 Y 3.23, 6 Ti 3.36, 6 Sc 3.36


A relaxed structure of YSc2Ti2, computed with PBE.

Computed properties:
- DOS(E_F) (states/eV/cell) = 17.71
- total moment (μB/f.u.) = 0.001
- energy of formation (kJ per mole of atoms) = 12.2

Cell: 8.2901 8.2901 3.3466 Å, 90.00 90.00 90.00°
With the nearest neighbours (Å) after each atom.
Fractional positions:
Ti: 0.1152 0.3848 0.0000  1 Ti 2.70, 6 Sc 2.97-2.98
Ti: 0.8848 0.6152 0.0000  1 Ti 2.70, 6 Sc 2.97-2.98
Sc: 0.6745 0.8255 0.5000  6 Ti 2.97-2.98
Sc: 0.8255 0.3255 0.5000  6 Ti 2.97-2.98
Sc: 0.3255 0.1745 0.5000  6 Ti 2.97-2.98
Sc: 0.1745 0.6745 0.5000  6 Ti 2.97-2.98
Y: 0.0000 0.0000 0.0000  4 Ti 3.33, 2 Y 3.35, 8 Sc 3.49
Ti: 0.3848 0.8848 0.0000  1 Ti 2.70, 6 Sc 2.97-2.98
Y: 0.5000 0.5000 0.0000  4 Ti 3.33, 2 Y 3.35, 8 Sc 3.49
Ti: 0.6152 0.1152 0.0000  1 Ti 2.70, 6 Sc 2.97-2.98


A relaxed structure of Y3ScTi, computed with PBE.

Computed properties:
- DOS(E_F) (states/eV/cell) = 7.41
- total moment (μB/f.u.) = 2.887
- energy of formation (kJ per mole of atoms) = 95.4

Cell: 5.4177 5.4177 5.4177 Å, 90.00 90.00 90.00°
With the nearest neighbours (Å) after each atom.
Fractional positions:
Y: 0.0000 0.5000 0.0000  2 Sc 2.71
Sc: 0.0000 0.0000 0.0000  6 Y 2.71
Y: 0.5000 0.0000 0.0000  2 Sc 2.71
Y: 0.0000 0.0000 0.5000  2 Sc 2.71
Ti: 0.5000 0.5000 0.5000  12 Y 3.83


A relaxed structure of YScTi2, computed with PBE.

Computed properties:
- DOS(E_F) (states/eV/cell) = 7.17
- total moment (μB/f.u.) = 2.143
- energy of formation (kJ per mole of atoms) = 59.3

Cell: 7.7849 7.7849 6.2824 Å, 51.71 51.71 90.00°
With the nearest neighbours (Å) after each atom.
Fractional positions:
Y: 0.7500 0.2500 0.5000  4 Ti 2.92, 2 Sc 3.03
Y: 0.0000 0.0000 0.0000  4 Ti 2.92, 2 Sc 3.03
Ti: 0.8750 0.8624 0.7500  2 Sc 2.79, 2 Y 2.92, 2 Ti 3.03
Ti: 0.3750 0.3876 0.7500  2 Sc 2.79, 2 Y 2.92, 2 Ti 3.03
Sc: 0.5000 0.5000 0.0000  4 Ti 2.79, 2 Y 3.03
Ti: 0.6124 0.1250 0.2500  2 Sc 2.79, 2 Y 2.92, 2 Ti 3.03
Sc: 0.2500 0.7500 0.5000  4 Ti 2.79, 2 Y 3.03
Ti: 0.1376 0.6250 0.2500  2 Sc 2.79, 2 Y 2.92, 2 Ti 3.03


- What is the DOS(E_F) in the second record?
  3.35 states/eV/cell